A plane-wave DFT calculation with PBE-GGA was carried out for a relaxed Al2CrFeCu crystal.

a = 4.405 Å, b = 4.405 Å, c = 4.510 Å
α = 90.00°, β = 90.00°, γ = 90.00°
Space group P4/mmm (No. 123)
Unique sites:
Al 0.000 0.500 0.000 x2
Cr 0.000 0.000 0.500 x1
Fe 0.500 0.500 0.500 x1
Cu 0.500 0.500 0.000 x1

Output
formation enthalpy at 0 K = 0.865 eV/atom
magnetization = 3.82 μB per formula unit
electronic total energy = -0.373 Ry per atom
Fermi-level density of states = 7.03 states/eV per cell


A plane-wave DFT calculation with PBE-GGA was carried out for a relaxed AlCrGaCu crystal.

a = 6.092 Å, b = 6.092 Å, c = 6.092 Å
α = 90.00°, β = 90.00°, γ = 90.00°
Space group F-43m (No. 216)
Unique sites:
Al 0.000 0.000 0.000 x4
Cr 0.250 0.250 0.750 x4
Ga 0.000 0.000 0.500 x4
Cu 0.250 0.250 0.250 x4

Output
formation enthalpy at 0 K = 0.013 eV/atom
magnetization = 3.22 μB per formula unit
electronic total energy = -0.376 Ry per atom
Fermi-level density of states = 8.71 states/eV per cell


A plane-wave DFT calculation with PBE-GGA was carried out for a relaxed Al2CrCuH crystal.

a = 4.019 Å, b = 4.019 Å, c = 3.486 Å
α = 90.00°, β = 90.00°, γ = 90.00°
Space group P4/mmm (No. 123)
Unique sites:
Al 0.000 0.500 0.000 x2
Cr 0.000 0.000 0.500 x1
Cu 0.500 0.500 0.500 x1
H 0.000 0.000 0.000 x1

Output
magnetization = 1.92 μB per formula unit
electronic total energy = -0.360 Ry per atom
Fermi-level density of states = 2.08 states/eV per cell


A plane-wave DFT calculation with PBE-GGA was carried out for a relaxed HfAl2CrCu crystal.

a = 5.206 Å, b = 5.206 Å, c = 4.721 Å
α = 90.00°, β = 90.00°, γ = 90.00°
Space group P4/mmm (No. 123)
Unique sites:
Hf 0.000 0.000 0.000 x1
Al 0.000 0.500 0.000 x2
Cr 0.500 0.500 0.500 x1
Cu 0.000 0.000 0.500 x1

Output
formation enthalpy at 0 K = 1.332 eV/atom
magnetization = 4.12 μB per formula unit
electronic total energy = -0.360 Ry per atom
Fermi-level density of states = 3.53 states/eV per cell


A plane-wave DFT calculation with PBE-GGA was carried out for a relaxed LiAlCrCu crystal.

a = 6.014 Å, b = 6.014 Å, c = 6.014 Å
α = 90.00°, β = 90.00°, γ = 90.00°
Space group F-43m (No. 216)
Unique sites:
Li 0.000 0.000 0.000 x4
Al 0.000 0.000 0.500 x4
Cr 0.250 0.250 0.750 x4
Cu 0.250 0.250 0.250 x4

Output
formation enthalpy at 0 K = 0.045 eV/atom
magnetization = 3.30 μB per formula unit
electronic total energy = -0.353 Ry per atom
Fermi-level density of states = 6.59 states/eV per cell


A plane-wave DFT calculation with PBE-GGA was carried out for a relaxed MnAlCrCu crystal.

a = 5.888 Å, b = 5.888 Å, c = 5.888 Å
α = 90.00°, β = 90.00°, γ = 90.00°
Space group F-43m (No. 216)
Unique sites:
Mn 0.000 0.000 0.000 x4
Al 0.250 0.250 0.750 x4
Cr 0.250 0.250 0.250 x4
Cu 0.000 0.000 0.500 x4

Output
formation enthalpy at 0 K = -0.052 eV/atom
magnetization = 0.74 μB per formula unit
electronic total energy = -0.493 Ry per atom
Fermi-level density of states = 10.45 states/eV per cell